Entry from Alexandria: crystalline AgBiO2 at its relaxed geometry (PBE-GGA).

```
data_AgBiO2
_chemical_formula_sum 'Ag2 Bi2 O4'
_space_group_name_H-M_alt 'P 1'
_space_group_IT_number 1
_cell_length_a 3.685
_cell_length_b 3.685
_cell_length_c 12.896
_cell_angle_alpha 90.00
_cell_angle_beta 90.00
_cell_angle_gamma 120.00
loop_
_space_group_symop_operation_xyz
'x,y,z'
loop_
_atom_site_label
_atom_site_fract_x
_atom_site_fract_y
_atom_site_fract_z
O1 0.333 0.667 0.088
O2 0.333 0.667 0.412
O3 0.667 0.333 0.588
O4 0.667 0.333 0.912
Bi1 0.000 0.000 0.500
Bi2 0.000 0.000 0.000
Ag1 0.333 0.667 0.250
Ag2 0.667 0.333 0.750
```

Results
raw formation energy	-755	meV/atom
total magnetic moment	0.00	μB/cell
raw total energy	-4.92	eV/atom
space-group type	P6_3/mmc (194)
V	152	Å³/cell